[1]
VASP calculation (meta-GGA SCAN) on CaNiTe2 at its PBEsol-relaxed geometry.

Values from the calculation:
The value obtained for the uncorrected formation energy is -0.681 eV per atom.

Cell and atoms, written as CIF:
```
data_CaNiTe2
_chemical_formula_sum 'Ca1 Ni1 Te2'
_symmetry_space_group_name_H-M 'P 1 2/m 1'
_symmetry_Int_Tables_number 10
_cell_length_a 4.2970
_cell_length_b 3.8148
_cell_length_c 6.5145
_cell_angle_alpha 90.00
_cell_angle_beta 106.30
_cell_angle_gamma 90.00
loop_
_symmetry_equiv_pos_as_xyz
'x,y,z'
'-x,-y,-z'
'-x,y,-z'
'x,-y,z'
loop_
_atom_site_label
_atom_site_fract_x
_atom_site_fract_y
_atom_site_fract_z
Ca1 0.0000 0.0000 0.0000
Ni1 0.5000 0.0000 0.5000
Te1 0.4233 0.5000 0.7276
```

---

[2]
VASP calculation (meta-GGA SCAN) on CaNiTe3 at its PBEsol-relaxed geometry.

Values from the calculation:
The value obtained for the uncorrected formation energy is -0.412 eV per atom.

Cell and atoms, written as CIF:
```
data_CaNiTe3
_chemical_formula_sum 'Ca1 Ni1 Te3'
_symmetry_space_group_name_H-M 'P m -3 m'
_symmetry_Int_Tables_number 221
_symmetry_space_group_name_Hall '-P 4 2 3'
_cell_length_a 5.0925
_cell_length_b 5.0925
_cell_length_c 5.0925
_cell_angle_alpha 90.00
_cell_angle_beta 90.00
_cell_angle_gamma 90.00
loop_
_atom_site_label
_atom_site_fract_x
_atom_site_fract_y
_atom_site_fract_z
Ca1 0.0000 0.0000 0.0000
Ni1 0.5000 0.5000 0.5000
Te1 0.0000 0.5000 0.5000
```

---

[3]
VASP calculation (meta-GGA SCAN) on Ca3NiTe at its PBEsol-relaxed geometry.

Values from the calculation:
The value obtained for the uncorrected formation energy is -0.434 eV per atom.

Cell and atoms, written as CIF:
```
data_Ca3NiTe
_chemical_formula_sum 'Ca3 Ni1 Te1'
_symmetry_space_group_name_H-M 'P m -3 m'
_symmetry_Int_Tables_number 221
_symmetry_space_group_name_Hall '-P 4 2 3'
_cell_length_a 5.2538
_cell_length_b 5.2538
_cell_length_c 5.2538
_cell_angle_alpha 90.00
_cell_angle_beta 90.00
_cell_angle_gamma 90.00
loop_
_atom_site_label
_atom_site_fract_x
_atom_site_fract_y
_atom_site_fract_z
Ca1 0.0000 0.0000 0.5000
Ni1 0.0000 0.0000 0.0000
Te1 0.5000 0.5000 0.5000
```

---

[4]
VASP calculation (meta-GGA SCAN) on CaNiTe at its PBEsol-relaxed geometry.

Values from the calculation:
The value obtained for the uncorrected formation energy is -0.878 eV per atom.

Cell and atoms, written as CIF:
```
data_CaNiTe
_chemical_formula_sum 'Ca1 Ni1 Te1'
_symmetry_space_group_name_H-M 'P -6 m 2'
_symmetry_Int_Tables_number 187
_symmetry_space_group_name_Hall 'P -6 2'
_cell_length_a 4.2389
_cell_length_b 4.2389
_cell_length_c 4.1642
_cell_angle_alpha 90.00
_cell_angle_beta 90.00
_cell_angle_gamma 120.00
loop_
_atom_site_label
_atom_site_fract_x
_atom_site_fract_y
_atom_site_fract_z
Ca1 0.0000 0.0000 0.0000
Ni1 0.3333 0.6667 0.5000
Te1 0.6667 0.3333 0.5000
```

---

[5]
VASP calculation (meta-GGA SCAN) on CaNiTe2 at its PBEsol-relaxed geometry.

Values from the calculation:
The value obtained for the uncorrected formation energy is -0.772 eV per atom.

Cell and atoms, written as CIF:
```
data_CaNiTe2
_chemical_formula_sum 'Ca4 Ni4 Te8'
_symmetry_space_group_name_H-M 'I -4 2 d'
_symmetry_Int_Tables_number 122
_symmetry_space_group_name_Hall 'I -4 2bw'
_cell_length_a 7.6169
_cell_length_b 7.6169
_cell_length_c 6.6282
_cell_angle_alpha 90.00
_cell_angle_beta 90.00
_cell_angle_gamma 90.00
loop_
_atom_site_label
_atom_site_fract_x
_atom_site_fract_y
_atom_site_fract_z
Ca1 0.0000 0.0000 0.0000
Ni1 0.0000 0.0000 0.5000
Te1 0.1739 0.7500 0.6250
```

---

[6]
VASP calculation (meta-GGA SCAN) on CaNiTe2 at its PBEsol-relaxed geometry.

Values from the calculation:
The value obtained for the uncorrected formation energy is -0.669 eV per atom.

Cell and atoms, written as CIF:
```
data_CaNiTe2
_chemical_formula_sum 'Ca2 Ni2 Te4'
_symmetry_space_group_name_H-M 'A m m 2'
_symmetry_Int_Tables_number 38
_cell_length_a 4.0216
_cell_length_b 4.2275
_cell_length_c 12.4286
_cell_angle_alpha 90.00
_cell_angle_beta 90.00
_cell_angle_gamma 90.00
loop_
_symmetry_equiv_pos_as_xyz
'x,y,z'
'-x,-y,z'
'-x,y,z'
'x,-y,z'
'x,y+1/2,z+1/2'
'-x,-y+1/2,z+1/2'
'-x,y+1/2,z+1/2'
'x,-y+1/2,z+1/2'
loop_
_atom_site_label
_atom_site_fract_x
_atom_site_fract_y
_atom_site_fract_z
Ca1 0.0000 0.0000 0.0000
Ni1 0.5000 0.0000 0.5970
Te1 0.0000 0.0000 0.7039
Te2 0.5000 0.0000 0.4029
```

---

[7]
VASP calculation (meta-GGA SCAN) on Ca2NiTe at its PBEsol-relaxed geometry.

Values from the calculation:
The value obtained for the uncorrected formation energy is -0.702 eV per atom.

Cell and atoms, written as CIF:
```
data_Ca2NiTe
_chemical_formula_sum 'Ca4 Ni2 Te2'
_symmetry_space_group_name_H-M 'A m m 2'
_symmetry_Int_Tables_number 38
_cell_length_a 4.2624
_cell_length_b 4.1405
_cell_length_c 11.0978
_cell_angle_alpha 90.00
_cell_angle_beta 90.00
_cell_angle_gamma 90.00
loop_
_symmetry_equiv_pos_as_xyz
'x,y,z'
'-x,-y,z'
'-x,y,z'
'x,-y,z'
'x,y+1/2,z+1/2'
'-x,-y+1/2,z+1/2'
'-x,y+1/2,z+1/2'
'x,-y+1/2,z+1/2'
loop_
_atom_site_label
_atom_site_fract_x
_atom_site_fract_y
_atom_site_fract_z
Ca1 0.0000 0.0000 0.0000
Ca2 0.5000 0.0000 0.2928
Ni1 0.0000 0.0000 0.7202
Te1 0.5000 0.0000 0.5841
```

---

[8]
VASP calculation (meta-GGA SCAN) on CaNi2Te2 at its PBEsol-relaxed geometry.

Values from the calculation:
The value obtained for the uncorrected formation energy is -0.545 eV per atom.

Cell and atoms, written as CIF:
```
data_CaNi2Te2
_chemical_formula_sum 'Ca2 Ni4 Te4'
_symmetry_space_group_name_H-M 'I 4/m m m'
_symmetry_Int_Tables_number 139
_symmetry_space_group_name_Hall '-I 4 2'
_cell_length_a 4.0256
_cell_length_b 4.0256
_cell_length_c 12.6070
_cell_angle_alpha 90.00
_cell_angle_beta 90.00
_cell_angle_gamma 90.00
loop_
_atom_site_label
_atom_site_fract_x
_atom_site_fract_y
_atom_site_fract_z
Ca1 0.0000 0.0000 0.0000
Ni1 0.0000 0.5000 0.2500
Te1 0.0000 0.0000 0.3674
```

---

[9]
VASP calculation (meta-GGA SCAN) on CaTl2Ni at its PBEsol-relaxed geometry.

Values from the calculation:
The total energy is -340.79 eV for the cell shown.

Cell and atoms, written as CIF:
```
data_CaTl2Ni
_chemical_formula_sum 'Ca2 Tl4 Ni2'
_symmetry_space_group_name_H-M 'I m m 2'
_symmetry_Int_Tables_number 44
_cell_length_a 3.8380
_cell_length_b 4.8361
_cell_length_c 9.6824
_cell_angle_alpha 90.00
_cell_angle_beta 90.00
_cell_angle_gamma 90.00
loop_
_symmetry_equiv_pos_as_xyz
'x,y,z'
'-x,-y,z'
'-x,y,z'
'x,-y,z'
'x+1/2,y+1/2,z+1/2'
'-x+1/2,-y+1/2,z+1/2'
'-x+1/2,y+1/2,z+1/2'
'x+1/2,-y+1/2,z+1/2'
loop_
_atom_site_label
_atom_site_fract_x
_atom_site_fract_y
_atom_site_fract_z
Ca1 0.0000 0.0000 0.0000
Tl1 0.0000 0.0000 0.4275
Tl2 0.0000 0.5000 0.2116
Ni1 0.0000 0.5000 0.7389
```

---

[10]
VASP calculation (meta-GGA SCAN) on CaTl2Ni at its PBEsol-relaxed geometry.

Values from the calculation:
The total energy is -341.50 eV for the cell shown.

Cell and atoms, written as CIF:
```
data_CaTl2Ni
_chemical_formula_sum 'Ca2 Tl4 Ni2'
_symmetry_space_group_name_H-M 'A m m 2'
_symmetry_Int_Tables_number 38
_cell_length_a 3.7769
_cell_length_b 4.1645
_cell_length_c 11.9405
_cell_angle_alpha 90.00
_cell_angle_beta 90.00
_cell_angle_gamma 90.00
loop_
_symmetry_equiv_pos_as_xyz
'x,y,z'
'-x,-y,z'
'-x,y,z'
'x,-y,z'
'x,y+1/2,z+1/2'
'-x,-y+1/2,z+1/2'
'-x,y+1/2,z+1/2'
'x,-y+1/2,z+1/2'
loop_
_atom_site_label
_atom_site_fract_x
_atom_site_fract_y
_atom_site_fract_z
Ca1 0.0000 0.0000 0.0000
Tl1 0.0000 0.0000 0.2882
Tl2 0.5000 0.0000 0.6609
Ni1 0.5000 0.0000 0.4419
```

---

[11]
VASP calculation (meta-GGA SCAN) on CaTl2Ni at its PBEsol-relaxed geometry.

Values from the calculation:
The total energy is -341.30 eV for the cell shown.

Cell and atoms, written as CIF:
```
data_CaTl2Ni
_chemical_formula_sum 'Ca2 Tl4 Ni2'
_symmetry_space_group_name_H-M 'I 4/m m m'
_symmetry_Int_Tables_number 139
_symmetry_space_group_name_Hall '-I 4 2'
_cell_length_a 4.8978
_cell_length_b 4.8978
_cell_length_c 6.8958
_cell_angle_alpha 90.00
_cell_angle_beta 90.00
_cell_angle_gamma 90.00
loop_
_atom_site_label
_atom_site_fract_x
_atom_site_fract_y
_atom_site_fract_z
Ca1 0.0000 0.0000 0.0000
Tl1 0.0000 0.5000 0.2500
Ni1 0.0000 0.0000 0.5000
```

---

[12]
VASP calculation (meta-GGA SCAN) on CaYNi2 at its PBEsol-relaxed geometry.

Values from the calculation:
The total energy is -141.61 eV for the cell shown.

Cell and atoms, written as CIF:
```
data_CaYNi2
_chemical_formula_sum 'Ca2 Y2 Ni4'
_symmetry_space_group_name_H-M 'A m m 2'
_symmetry_Int_Tables_number 38
_cell_length_a 3.9427
_cell_length_b 3.8948
_cell_length_c 10.4091
_cell_angle_alpha 90.00
_cell_angle_beta 90.00
_cell_angle_gamma 90.00
loop_
_symmetry_equiv_pos_as_xyz
'x,y,z'
'-x,-y,z'
'-x,y,z'
'x,-y,z'
'x,y+1/2,z+1/2'
'-x,-y+1/2,z+1/2'
'-x,y+1/2,z+1/2'
'x,-y+1/2,z+1/2'
loop_
_atom_site_label
_atom_site_fract_x
_atom_site_fract_y
_atom_site_fract_z
Ca1 0.0000 0.0000 0.0000
Y1 0.5000 0.0000 0.2819
Ni1 0.0000 0.0000 0.7124
Ni2 0.5000 0.0000 0.5878
```

---

[13]
VASP calculation (meta-GGA SCAN) on CaYNi2 at its PBEsol-relaxed geometry.

Values from the calculation:
The total energy is -139.23 eV for the cell shown.

Cell and atoms, written as CIF:
```
data_CaYNi2
_chemical_formula_sum 'Ca2 Y2 Ni4'
_symmetry_space_group_name_H-M 'I -4 m 2'
_symmetry_Int_Tables_number 119
_symmetry_space_group_name_Hall 'I -4 -2'
_cell_length_a 3.9045
_cell_length_b 3.9045
_cell_length_c 9.7014
_cell_angle_alpha 90.00
_cell_angle_beta 90.00
_cell_angle_gamma 90.00
loop_
_atom_site_label
_atom_site_fract_x
_atom_site_fract_y
_atom_site_fract_z
Ca1 0.0000 0.0000 0.0000
Y1 0.0000 0.5000 0.7500
Ni1 0.0000 0.0000 0.5000
Ni2 0.0000 0.5000 0.2500
```

---

[14]
VASP calculation (meta-GGA SCAN) on CaYNi2 at its PBEsol-relaxed geometry.

Values from the calculation:
The total energy is -212.50 eV for the cell shown.

Cell and atoms, written as CIF:
```
data_CaYNi2
_chemical_formula_sum 'Ca3 Y3 Ni6'
_symmetry_space_group_name_H-M 'R 3 m'
_symmetry_Int_Tables_number 160
_symmetry_space_group_name_Hall 'R 3 -2"'
_cell_length_a 3.9396
_cell_length_b 3.9396
_cell_length_c 20.5946
_cell_angle_alpha 90.00
_cell_angle_beta 90.00
_cell_angle_gamma 120.00
loop_
_atom_site_label
_atom_site_fract_x
_atom_site_fract_y
_atom_site_fract_z
Ca1 0.0000 0.0000 0.0000
Y1 0.0000 0.0000 0.8267
Ni1 0.0000 0.0000 0.2389
Ni2 0.0000 0.0000 0.5732
```

---

[15]
VASP calculation (meta-GGA SCAN) on CaZnNi2 at its PBEsol-relaxed geometry.

Values from the calculation:
The total energy is -55.42 eV for the cell shown.

Cell and atoms, written as CIF:
```
data_CaZnNi2
_chemical_formula_sum 'Ca1 Zn1 Ni2'
_symmetry_space_group_name_H-M 'P 4/m m m'
_symmetry_Int_Tables_number 123
_symmetry_space_group_name_Hall '-P 4 2'
_cell_length_a 3.0770
_cell_length_b 3.0770
_cell_length_c 6.2910
_cell_angle_alpha 90.00
_cell_angle_beta 90.00
_cell_angle_gamma 90.00
loop_
_atom_site_label
_atom_site_fract_x
_atom_site_fract_y
_atom_site_fract_z
Ca1 0.0000 0.0000 0.0000
Zn1 0.0000 0.0000 0.5000
Ni1 0.5000 0.5000 0.3065
```

---

[16]
VASP calculation (meta-GGA SCAN) on CaZnNi at its PBEsol-relaxed geometry.

Values from the calculation:
The total energy is -39.88 eV for the cell shown.

Cell and atoms, written as CIF:
```
data_CaZnNi
_chemical_formula_sum 'Ca1 Zn1 Ni1'
_symmetry_space_group_name_H-M 'P -6 m 2'
_symmetry_Int_Tables_number 187
_symmetry_space_group_name_Hall 'P -6 2'
_cell_length_a 4.1406
_cell_length_b 4.1406
_cell_length_c 3.8107
_cell_angle_alpha 90.00
_cell_angle_beta 90.00
_cell_angle_gamma 120.00
loop_
_atom_site_label
_atom_site_fract_x
_atom_site_fract_y
_atom_site_fract_z
Ca1 0.0000 0.0000 0.0000
Zn1 0.3333 0.6667 0.5000
Ni1 0.6667 0.3333 0.5000
```

---

[17]
VASP calculation (meta-GGA SCAN) on CaZnNi2 at its PBEsol-relaxed geometry.

Values from the calculation:
The total energy is -55.20 eV for the cell shown.

Cell and atoms, written as CIF:
```
data_CaZnNi2
_chemical_formula_sum 'Ca1 Zn1 Ni2'
_symmetry_space_group_name_H-M 'P m m 2'
_symmetry_Int_Tables_number 25
_cell_length_a 2.7798
_cell_length_b 3.4341
_cell_length_c 6.3054
_cell_angle_alpha 90.00
_cell_angle_beta 90.00
_cell_angle_gamma 90.00
loop_
_symmetry_equiv_pos_as_xyz
'x,y,z'
'-x,-y,z'
'-x,y,z'
'x,-y,z'
loop_
_atom_site_label
_atom_site_fract_x
_atom_site_fract_y
_atom_site_fract_z
Ca1 0.0000 0.0000 0.0000
Zn1 0.5000 0.5000 0.6599
Ni1 0.0000 0.0000 0.4710
Ni2 0.5000 0.5000 0.2837
```

---

[18]
VASP calculation (meta-GGA SCAN) on CaZnNi at its PBEsol-relaxed geometry.

Values from the calculation:
The total energy is -149.67 eV for the cell shown.

Cell and atoms, written as CIF:
```
data_CaZnNi
_chemical_formula_sum 'Ca4 Zn4 Ni4'
_symmetry_space_group_name_H-M 'F -4 3 m'
_symmetry_Int_Tables_number 216
_symmetry_space_group_name_Hall 'F -4 2 3'
_cell_length_a 6.4156
_cell_length_b 6.4156
_cell_length_c 6.4156
_cell_angle_alpha 90.00
_cell_angle_beta 90.00
_cell_angle_gamma 90.00
loop_
_atom_site_label
_atom_site_fract_x
_atom_site_fract_y
_atom_site_fract_z
Ca1 0.0000 0.0000 0.0000
Zn1 0.2500 0.2500 0.7500
Ni1 0.2500 0.2500 0.2500
```

---

[19]
VASP calculation (meta-GGA SCAN) on CaZnNi2 at its PBEsol-relaxed geometry.

Values from the calculation:
The total energy is -110.44 eV for the cell shown.

Cell and atoms, written as CIF:
```
data_CaZnNi2
_chemical_formula_sum 'Ca2 Zn2 Ni4'
_symmetry_space_group_name_H-M 'I 4/m m m'
_symmetry_Int_Tables_number 139
_symmetry_space_group_name_Hall '-I 4 2'
_cell_length_a 4.1366
_cell_length_b 4.1366
_cell_length_c 6.7969
_cell_angle_alpha 90.00
_cell_angle_beta 90.00
_cell_angle_gamma 90.00
loop_
_atom_site_label
_atom_site_fract_x
_atom_site_fract_y
_atom_site_fract_z
Ca1 0.0000 0.0000 0.0000
Zn1 0.0000 0.0000 0.5000
Ni1 0.0000 0.5000 0.2500
```

---

[20]
VASP calculation (meta-GGA SCAN) on CaZn3Ni2 at its PBEsol-relaxed geometry.

Values from the calculation:
The total energy is -253.41 eV for the cell shown.

Cell and atoms, written as CIF:
```
data_CaZn3Ni2
_chemical_formula_sum 'Ca3 Zn9 Ni6'
_symmetry_space_group_name_H-M 'P 6/m m m'
_symmetry_Int_Tables_number 191
_symmetry_space_group_name_Hall '-P 6 2'
_cell_length_a 8.8787
_cell_length_b 8.8787
_cell_length_c 3.9969
_cell_angle_alpha 90.00
_cell_angle_beta 90.00
_cell_angle_gamma 120.00
loop_
_atom_site_label
_atom_site_fract_x
_atom_site_fract_y
_atom_site_fract_z
Ca1 0.0000 0.0000 0.0000
Ca2 0.3333 0.6667 0.5000
Zn1 0.0000 0.2929 0.5000
Zn2 0.0000 0.5000 0.0000
Ni1 0.1818 0.3636 0.0000
```

---

| no. | ρ (g/cm3) |
| --- | --- |
| 1 | 5.73 |
| 2 | 6.06 |
| 3 | 3.51 |
| 4 | 5.80 |
| 5 | 6.11 |
| 6 | 5.56 |
| 7 | 4.52 |
| 8 | 6.71 |
| 9 | 9.38 |
| 10 | 8.97 |
| 11 | 10.19 |
| 12 | 5.12 |
| 13 | 5.53 |
| 14 | 4.43 |
| 15 | 6.21 |
| 16 | 4.82 |
| 17 | 6.15 |
| 18 | 4.13 |
| 19 | 6.36 |
| 20 | 6.46 |